(1)
Entry from Alexandria: crystalline ScCoTe at its relaxed geometry (PBE).

The space group is I4mm (No. 107) and the conventional cell measures 3.368, 3.368 and 9.980 Å, with angles of 90.00, 90.00 and 90.00 degrees. The distinct sites, in fractional coordinates, are Sc at (0.000, 0.000, 0.000), Co at (0.000, 0.000, 0.349) and Te at (0.000, 0.000, 0.701).

The calculation puts the total energy at -17.13 eV per formula unit. The calculation puts the raw formation energy at -184 meV/atom.

=====

(2)
Entry from Alexandria: crystalline ZrBeZn2 at its relaxed geometry (PBE).

The space group is R-3m (No. 166, hexagonal axes) and the conventional cell measures 2.8822, 2.8822 and 26.3574 Å, with angles of 90.00, 90.00 and 120.00 degrees. The distinct sites, in fractional coordinates, are Zr at (0.0000, 0.0000, 0.0000), Be at (0.0000, 0.0000, 0.5000) and Zn at (0.0000, 0.0000, 0.2366).

The calculation puts the total energy at -13.99 eV per formula unit. As for the formation energy: 0.21 eV/atom.

=====

(3)
Entry from Alexandria: crystalline NaTiPO2 at its relaxed geometry (PBE).

The space group is P4/mmm (No. 123) and the conventional cell measures 3.896, 3.896 and 5.084 Å, with angles of 90.00, 90.00 and 90.00 degrees. The distinct sites, in fractional coordinates, are Na at (0.000, 0.000, 0.000), Ti at (0.500, 0.500, 0.500), P at (0.500, 0.500, 0.000) and O at (0.000, 0.500, 0.500).

The calculation puts the total energy at -30.99 eV per formula unit. The calculation puts the energy above the most stable polymorph in this dataset at 0.0 meV/atom. The calculation puts the raw formation energy at -1289 meV/atom.

=====

(4)
Entry from Alexandria: crystalline ZnReMoP2 at its relaxed geometry (PBE).

The space group is P4/mmm (No. 123) and the conventional cell measures 4.594, 4.594 and 4.881 Å, with angles of 90.00, 90.00 and 90.00 degrees. The distinct sites, in fractional coordinates, are Zn at (0.000, 0.000, 0.000), Re at (0.500, 0.500, 0.000), Mo at (0.000, 0.000, 0.500) and P at (0.000, 0.500, 0.500).

The calculation puts the total energy at -28.50 eV per formula unit. As for the formation energy: 1.37 eV/atom.